[1]
First-principles (GGA-PBE) data for a relaxed YTa4Os crystal, as listed in Alexandria.

Cell: 5.495 5.495 5.495 Å, 60.00 60.00 60.00°
Fractional coordinates of all 6 atoms:
1 Ta 0.375 0.375 0.874
2 Ta 0.375 0.874 0.375
3 Ta 0.874 0.375 0.375
4 Ta 0.375 0.375 0.375
5 Os 0.000 0.000 0.000
6 Y 0.750 0.750 0.750

Properties
Energy of formation = 0.29 eV per atom
Spin magnetization = 0.00 μB per formula unit
Crystal system = cubic
SG = F-43m
Total DFT energy (no corrections) = -63.3 eV/cell

[2]
First-principles (GGA-PBE) data for a relaxed Y3TaOs crystal, as listed in Alexandria.

Cell: 5.313 5.313 5.313 Å, 90.00 90.00 90.00°
Fractional coordinates of all 5 atoms:
1 Y 0.500 0.000 0.000
2 Y 0.000 0.500 0.000
3 Y 0.000 0.000 0.500
4 Ta 0.500 0.500 0.500
5 Os 0.000 0.000 0.000

Properties
Energy of formation = 0.70 eV per atom
Spin magnetization = 3.21 μB per formula unit
Crystal system = cubic
Distance to the lowest polymorph of the same formula = 0 meV/atom
SG = Pm-3m
Total DFT energy (no corrections) = -39.0 eV/cell